The following is a PBE calculation of a relaxed VNiP2Cl crystal, from Alexandria.

Values from the calculation:
**Size of the total moment**: 0.79 μB per formula unit
**VASP energy**: -4.96 eV per atom
**Crystal system**: tetragonal
**Energy above the lowest structure with this stoichiometry**: 12 meV per atom
**Symmetry**: P4/mmm (123)
**E_form (uncorrected)**: 0.557 eV/atom
**Theoretical density**: 3.6 g/cm³

Unit cell a=4.511 b=4.511 c=4.701 alpha=90.00 beta=90.00 gamma=90.00
Last column: magnetic moment on the atom in μB.
Fractional coordinates of all 5 atoms:
1 Ni 0.500 0.500 0.500  0.71
2 Cl 0.000 0.000 0.500  0.06
3 P 0.000 0.500 0.000  0.01
4 P 0.500 0.000 0.000  0.01
5 V 0.000 0.000 0.000  -0.04